i) ! PBE-GGA NiAg2H, optimized geometry; values from VASP
! Fermi-level density of states: 0.448 states/eV/atom
&SYSTEM
  ibrav = 0, nat = 4, ntyp = 3
/
ATOMIC_SPECIES
Ni 58.69 Ni.upf
Ag 107.87 Ag.upf
H 1.01 H.upf
ATOMIC_POSITIONS crystal
Ni 0.5000 0.5000 0.5000
Ag 0.7500 0.7500 0.7500
Ag 0.2500 0.2500 0.2500
H 0.0000 0.0000 0.0000
CELL_PARAMETERS angstrom
0.0000 2.9991 2.9991
2.9991 0.0000 2.9991
2.9991 2.9991 0.0000

---

ii) ! PBE-GGA NiAg2H, optimized geometry; values from VASP
! Fermi-level density of states: 0.702 states/eV/atom
&SYSTEM
  ibrav = 0, nat = 8, ntyp = 3
/
ATOMIC_SPECIES
Ni 58.69 Ni.upf
Ag 107.87 Ag.upf
H 1.01 H.upf
ATOMIC_POSITIONS crystal
Ni 0.7500 0.2500 0.5000
Ag 0.3750 0.4657 0.7500
H 0.2500 0.7500 0.5000
H 0.5000 0.5000 0.0000
Ag 0.8750 0.7843 0.7500
Ni 0.0000 0.0000 0.0000
Ag 0.5343 0.1250 0.2500
Ag 0.2157 0.6250 0.2500
CELL_PARAMETERS angstrom
6.2520 0.0000 0.0000
0.0000 6.2520 0.0000
3.1260 3.1260 2.6408

---

Result of the stability comparison: ii) is the most stable of them.

---

i) ! PBE-GGA NiAgH3, optimized geometry; values from VASP
! Fermi-level density of states: 0.299 states/eV/atom
&SYSTEM
  ibrav = 0, nat = 5, ntyp = 3
/
ATOMIC_SPECIES
Ag 107.87 Ag.upf
H 1.01 H.upf
Ni 58.69 Ni.upf
ATOMIC_POSITIONS crystal
Ag 0.0000 0.0000 0.0000
H 0.5000 0.0000 0.0000
Ni 0.5000 0.5000 0.5000
H 0.0000 0.5000 0.0000
H 0.0000 0.0000 0.5000
CELL_PARAMETERS angstrom
3.5308 0.0000 0.0000
0.0000 3.5308 0.0000
0.0000 0.0000 3.5308

---

ii) ! PBE-GGA NiAgH3, optimized geometry; values from VASP
! Fermi-level density of states: 0.071 states/eV/atom
&SYSTEM
  ibrav = 0, nat = 20, ntyp = 3
/
ATOMIC_SPECIES
Ni 58.69 Ni.upf
H 1.01 H.upf
Ag 107.87 Ag.upf
ATOMIC_POSITIONS crystal
Ni 0.2669 0.9207 0.5630
H 0.7050 0.3513 0.0374
H 0.4511 0.1455 0.6300
Ni 0.7331 0.0793 0.4370
H 0.0489 0.1455 0.1300
H 0.0719 0.9407 0.3255
Ag 0.8774 0.6293 0.2349
H 0.2050 0.6487 0.4626
Ni 0.2331 0.9207 0.0630
H 0.9281 0.0593 0.6745
H 0.4281 0.9407 0.8255
H 0.9511 0.8545 0.8700
H 0.5719 0.0593 0.1745
Ag 0.3774 0.3707 0.2651
H 0.2950 0.6487 0.9626
Ag 0.1226 0.3707 0.7651
H 0.5489 0.8545 0.3700
Ag 0.6226 0.6293 0.7349
Ni 0.7669 0.0793 0.9370
H 0.7950 0.3513 0.5374
CELL_PARAMETERS angstrom
4.4934 0.0000 0.0000
0.0000 6.6901 -0.6974
0.0000 -2.0818 5.7555

---

iii) ! PBE-GGA NiAgH3, optimized geometry; values from VASP
! Fermi-level density of states: 0.148 states/eV/atom
&SYSTEM
  ibrav = 0, nat = 5, ntyp = 3
/
ATOMIC_SPECIES
H 1.01 H.upf
Ni 58.69 Ni.upf
Ag 107.87 Ag.upf
ATOMIC_POSITIONS crystal
H 0.0000 0.5000 0.0000
Ni 0.0000 0.0000 0.0000
H 0.0000 0.0000 0.5000
H 0.5000 0.0000 0.0000
Ag 0.5000 0.5000 0.5000
CELL_PARAMETERS angstrom
-1.9066 -0.6155 -2.7136
1.4992 -2.9984 -0.3733
-2.3441 -1.4172 1.9684

---

Result of the stability comparison: ii) is the most stable of them.

---

i) ! PBE-GGA Ni3AgH, optimized geometry; values from VASP
! Fermi-level density of states: 1.187 states/eV/atom
&SYSTEM
  ibrav = 0, nat = 5, ntyp = 3
/
ATOMIC_SPECIES
Ni 58.69 Ni.upf
H 1.01 H.upf
Ag 107.87 Ag.upf
ATOMIC_POSITIONS crystal
Ni 0.0000 0.5000 0.0000
Ni 0.5000 0.0000 0.0000
H 0.0000 0.0000 0.0000
Ni 0.0000 0.0000 0.5000
Ag 0.5000 0.5000 0.5000
CELL_PARAMETERS angstrom
-1.0150 -3.3288 1.3577
2.8892 0.0843 2.3665
-2.1394 1.6931 2.5517

---

ii) ! PBE-GGA Ni3AgH, optimized geometry; values from VASP
! Fermi-level density of states: 2.044 states/eV/atom
&SYSTEM
  ibrav = 0, nat = 5, ntyp = 3
/
ATOMIC_SPECIES
Ni 58.69 Ni.upf
Ag 107.87 Ag.upf
H 1.01 H.upf
ATOMIC_POSITIONS crystal
Ni 0.0000 0.0000 0.5000
Ag 0.0000 0.0000 0.0000
H 0.5000 0.5000 0.5000
Ni 0.5000 0.0000 0.0000
Ni 0.0000 0.5000 0.0000
CELL_PARAMETERS angstrom
-1.6568 4.3769 -0.2953
-1.8352 -0.9782 -4.2029
-3.9845 -1.3694 2.0585

---

Result of the stability comparison: i) is the most stable of them.

---

i) ! PBE-GGA NiAgH2, optimized geometry; values from VASP
! Fermi-level density of states: 0.280 states/eV/atom
&SYSTEM
  ibrav = 0, nat = 8, ntyp = 3
/
ATOMIC_SPECIES
Ag 107.87 Ag.upf
H 1.01 H.upf
Ni 58.69 Ni.upf
ATOMIC_POSITIONS crystal
Ag 0.0000 0.0000 0.0000
H 0.3750 0.4608 0.7500
Ni 0.5000 0.5000 0.0000
H 0.8750 0.7892 0.7500
Ni 0.2500 0.7500 0.5000
H 0.2108 0.6250 0.2500
H 0.5392 0.1250 0.2500
Ag 0.7500 0.2500 0.5000
CELL_PARAMETERS angstrom
-3.9113 0.6624 1.2418
-0.4431 -4.0607 0.7703
-0.8256 -1.0997 4.9435

---

ii) ! PBE-GGA NiAgH2, optimized geometry; values from VASP
! Fermi-level density of states: 0.310 states/eV/atom
&SYSTEM
  ibrav = 0, nat = 4, ntyp = 3
/
ATOMIC_SPECIES
Ni 58.69 Ni.upf
H 1.01 H.upf
Ag 107.87 Ag.upf
ATOMIC_POSITIONS crystal
Ni 0.0000 0.0000 0.0000
H 0.2500 0.2500 0.2500
Ag 0.5000 0.5000 0.5000
H 0.7500 0.7500 0.7500
CELL_PARAMETERS angstrom
-0.1008 -1.0866 3.5191
-0.4756 2.4817 2.6814
-3.1725 0.1059 1.8706

---

Result of the stability comparison: i) is the most stable of them.